# Li3Fe2P4HO14

An optimized crystal structure of Li3Fe2P4HO14 (PBE with a Hubbard U, the Alexandria database).

Output
**SG**: P-1 (2)
**M_tot**: 0.333 μB per atom
**Offset from the most stable computed form**: 0.000 eV per atom

abc: 4.975 5.035 12.935
angles: 86.53 85.05 62.74
Fractional positions:
Li 0.000 0.000 0.000
Li 0.206 0.300 0.426
Li 0.794 0.700 0.574
Fe 0.078 0.979 0.750
Fe 0.922 0.021 0.250
P 0.396 0.360 0.871
P 0.451 0.339 0.648
P 0.549 0.661 0.352
P 0.604 0.640 0.129
H 0.500 0.000 0.000
O 0.212 0.698 0.877
O 0.229 0.929 0.363
O 0.231 0.347 0.573
O 0.263 0.754 0.138
O 0.293 0.194 0.956
O 0.302 0.272 0.762
O 0.461 0.636 0.660
O 0.539 0.364 0.340
O 0.698 0.728 0.238
O 0.707 0.806 0.044
O 0.737 0.246 0.862
O 0.769 0.653 0.427
O 0.771 0.071 0.637
O 0.788 0.302 0.123